[1]
Computed, not measured: Hf3InRe after structural relaxation at the PBE level of DFT.

- excess energy over the best structure of this formula in the dataset (meV per atom) = 1981
- raw total energy (eV per atom) = -7.11
- theoretical density (g/cm3) = 10.7
- energy relative to the elements (meV per atom) = 1894.8

a b c (Å): 5.0620 5.0620 5.0620
angles (deg): 90.00 90.00 90.00
Last column: nearest neighbours and their distance in Å.
Fractional positions:
Re 0.5000 0.5000 0.5000  12 Hf 3.58
Hf 0.5000 0.0000 0.0000  2 In 2.53
Hf 0.0000 0.5000 0.0000  2 In 2.53
In 0.0000 0.0000 0.0000  6 Hf 2.53
Hf 0.0000 0.0000 0.5000  2 In 2.53


[2]
Computed, not measured: Ge2BiAs after structural relaxation at the PBE level of DFT.

- excess energy over the best structure of this formula in the dataset (meV per atom) = 101
- raw total energy (eV per atom) = -4.08
- theoretical density (g/cm3) = 8.0
- energy relative to the elements (meV per atom) = 363.7

a b c (Å): 5.0199 5.0199 5.0199
angles (deg): 60.00 60.00 60.00
Last column: nearest neighbours and their distance in Å.
Fractional positions:
Ge 0.2500 0.2500 0.2500  4 Bi 3.07, 4 As 3.07
As 0.0000 0.0000 0.0000  8 Ge 3.07
Bi 0.5000 0.5000 0.5000  8 Ge 3.07
Ge 0.7500 0.7500 0.7500  4 Bi 3.07, 4 As 3.07


[3]
Computed, not measured: Cs2NbTc after structural relaxation at the PBE level of DFT.

- raw total energy (eV per atom) = -2.99
- theoretical density (g/cm3) = 7.7
- energy relative to the elements (meV per atom) = 2548.8

a b c (Å): 5.1850 5.1850 5.1850
angles (deg): 60.00 60.00 60.00
Last column: nearest neighbours and their distance in Å.
Fractional positions:
Cs 0.2500 0.2500 0.2500  4 Tc 3.18, 4 Nb 3.18
Nb 0.0000 0.0000 0.0000  8 Cs 3.18
Tc 0.5000 0.5000 0.5000  8 Cs 3.18
Cs 0.7500 0.7500 0.7500  4 Nb 3.18, 4 Tc 3.18


[4]
Computed, not measured: InSe2NF after structural relaxation at the PBE level of DFT.

- excess energy over the best structure of this formula in the dataset (meV per atom) = 12
- raw total energy (eV per atom) = -3.06
- formation energy without anion corrections (kJ/mol of formula units) = 444
- theoretical density (g/cm3) = 4.9

a b c (Å): 4.5261 4.5261 5.0328
angles (deg): 90.00 90.00 90.00
Last column: nearest neighbours and their distance in Å.
Fractional positions:
Se 0.5000 0.0000 0.0000  2 F 2.26
Se 0.0000 0.5000 0.0000  2 F 2.26
In 0.5000 0.5000 0.5000  4 N 3.20, 8 Se 3.38
N 0.0000 0.0000 0.5000  2 F 2.52
F 0.0000 0.0000 0.0000  4 Se 2.26, 2 N 2.52


[5]
Computed, not measured: KCo3 after structural relaxation at the PBE level of DFT.

- excess energy over the best structure of this formula in the dataset (meV per atom) = 123
- raw total energy (eV per atom) = -4.83
- theoretical density (g/cm3) = 5.0
- energy relative to the elements (meV per atom) = 777.0

a b c (Å): 6.3328 7.4920 6.0134
angles (deg): 90.00 90.00 90.00
Last column: nearest neighbours and their distance in Å.
Fractional positions:
K 0.1087 0.4846 0.2500  10 Co 2.99-3.28, 2 K 3.31
K 0.8913 0.5154 0.7500  10 Co 2.99-3.28, 2 K 3.31
Co 0.6600 0.6500 0.2500  6 Co 2.43-2.56
K 0.3913 0.9846 0.2500  10 Co 2.99-3.28, 2 K 3.31
Co 0.5765 0.3647 0.0682  3 Co 2.19-2.43
Co 0.5765 0.3647 0.4318  3 Co 2.19-2.43
K 0.6087 0.0154 0.7500  10 Co 2.99-3.28, 2 K 3.31
Co 0.4235 0.6353 0.9318  3 Co 2.19-2.43
Co 0.9235 0.8647 0.0682  3 Co 2.19-2.43
Co 0.3400 0.3500 0.7500  6 Co 2.43-2.56
Co 0.8400 0.1500 0.2500  6 Co 2.43-2.56
Co 0.0765 0.1353 0.5682  3 Co 2.19-2.43
Co 0.9235 0.8647 0.4318  3 Co 2.19-2.43
Co 0.1600 0.8500 0.7500  6 Co 2.43-2.56
Co 0.4235 0.6353 0.5682  3 Co 2.19-2.43
Co 0.0765 0.1353 0.9318  3 Co 2.19-2.43


[6]
Computed, not measured: EuTmGa after structural relaxation at the PBE level of DFT.

- excess energy over the best structure of this formula in the dataset (meV per atom) = 105
- raw total energy (eV per atom) = -6.13
- theoretical density (g/cm3) = 7.8
- energy relative to the elements (meV per atom) = -208.2

a b c (Å): 3.7634 5.0595 5.0595
angles (deg): 120.00 90.00 90.00
Last column: nearest neighbours and their distance in Å.
Fractional positions:
Ga 0.0832 0.0000 0.0000  3 Tm 2.97, 3 Eu 3.28
Tm 0.2272 0.6667 0.3333  3 Ga 2.97
Eu 0.6896 0.3333 0.6667  3 Ga 3.28, 6 Tm 3.40-3.55


[7]
Computed, not measured: Pa6Tc3Ge after structural relaxation at the PBE level of DFT.

- raw total energy (eV per atom) = -9.32
- theoretical density (g/cm3) = 12.7
- energy relative to the elements (meV per atom) = -55.5

a b c (Å): 7.3522 7.1559 8.8307
angles (deg): 90.00 99.23 90.00
Last column: nearest neighbours and their distance in Å.
Fractional positions:
Tc 0.4813 0.1421 0.2014  3 Pa 2.60-2.72
Pa 0.6479 0.1227 0.5524  2 Pa 2.83-3.10, 4 Tc 2.84-3.15, 1 Ge 2.92
Tc 0.5000 0.5000 0.0000  6 Pa 2.68-2.87
Tc 0.9813 0.3579 0.7014  3 Pa 2.60-2.72
Tc 0.0187 0.6421 0.2986  3 Pa 2.60-2.72
Pa 0.1574 0.3043 0.3995  2 Tc 2.68-2.72, 1 Ge 2.89
Pa 0.6574 0.1957 0.8995  2 Tc 2.68-2.72, 1 Ge 2.89
Tc 0.5187 0.8579 0.7986  3 Pa 2.60-2.72
Pa 0.7609 0.8900 0.2246  3 Tc 2.60-2.87
Pa 0.3521 0.8773 0.4476  2 Pa 2.83-3.10, 4 Tc 2.84-3.15, 1 Ge 2.92
Pa 0.2391 0.1100 0.7754  3 Tc 2.60-2.87
Pa 0.2609 0.6100 0.7246  3 Tc 2.60-2.87
Ge 0.5000 0.5000 0.5000  6 Pa 2.89-2.96
Ge 0.0000 0.0000 0.0000  6 Pa 2.89-2.96
Pa 0.1479 0.3773 0.0524  2 Pa 2.83-3.10, 4 Tc 2.84-3.15, 1 Ge 2.92
Pa 0.8521 0.6227 0.9476  2 Pa 2.83-3.10, 4 Tc 2.84-3.15, 1 Ge 2.92
Pa 0.8426 0.6957 0.6005  2 Tc 2.68-2.72, 1 Ge 2.89
Tc 0.0000 0.0000 0.5000  6 Pa 2.68-2.87
Pa 0.3426 0.8043 0.1005  2 Tc 2.68-2.72, 1 Ge 2.89
Pa 0.7391 0.3900 0.2754  3 Tc 2.60-2.87


[8]
Computed, not measured: TmSc5Sb4 after structural relaxation at the PBE level of DFT.

- raw total energy (eV per atom) = -5.79
- formation energy without anion corrections (kJ/mol of formula units) = -507
- theoretical density (g/cm3) = 5.4

a b c (Å): 5.6684 9.7067 9.8418
angles (deg): 90.00 90.00 90.00
Last column: nearest neighbours and their distance in Å.
Fractional positions:
Sb 0.4994 0.3169 0.5000  5 Sc 2.91-3.08
Tm 0.0000 0.5000 0.5000  6 Sb 3.21-3.35
Sc 0.7499 0.2500 0.2502  2 Sc 2.83-2.84, 4 Sb 2.91
Sb 0.9999 0.5000 0.1734  4 Sc 2.91, 1 Tm 3.21
Sc 0.7499 0.2500 0.7498  2 Sc 2.83-2.84, 4 Sb 2.91
Sb 0.4994 0.6831 0.5000  5 Sc 2.91-3.08
Sc 0.2501 0.7500 0.2498  2 Sc 2.83-2.84, 4 Sb 2.91
Sc 0.7499 0.7500 0.2502  2 Sc 2.83-2.84, 4 Sb 2.91
Sb 0.0001 0.0000 0.6734  4 Sc 2.91, 1 Tm 3.21
Sb 0.9999 0.5000 0.8266  4 Sc 2.91, 1 Tm 3.21
Sc 0.2501 0.2500 0.7502  2 Sc 2.83-2.84, 4 Sb 2.91
Sc 0.2501 0.2500 0.2498  2 Sc 2.83-2.84, 4 Sb 2.91
Tm 0.0000 0.0000 0.0000  6 Sb 3.21-3.35
Sc 0.2501 0.7500 0.7502  2 Sc 2.83-2.84, 4 Sb 2.91
Sb 0.5006 0.8169 0.0000  5 Sc 2.91-3.08
Sb 0.0001 0.0000 0.3266  4 Sc 2.91, 1 Tm 3.21
Sb 0.5006 0.1831 0.0000  5 Sc 2.91-3.08
Sc 0.5003 0.5000 0.0000  6 Sb 3.08-3.31
Sc 0.4997 0.0000 0.5000  6 Sb 3.08-3.31
Sc 0.7499 0.7500 0.7498  2 Sc 2.83-2.84, 4 Sb 2.91


[9]
Computed, not measured: NdSmTm2 after structural relaxation at the PBE level of DFT.

- excess energy over the best structure of this formula in the dataset (meV per atom) = 1
- raw total energy (eV per atom) = -4.59
- theoretical density (g/cm3) = 8.2
- energy relative to the elements (meV per atom) = 18.3

a b c (Å): 3.5767 3.5767 11.7336
angles (deg): 81.23 81.23 60.00
Last column: nearest neighbours and their distance in Å.
Fractional positions:
Tm 0.7504 0.7504 0.7487  3 Sm 3.54, 3 Nd 3.56, 6 Tm 3.58
Sm 0.5000 0.5000 0.5000  6 Tm 3.54, 6 Sm 3.58
Nd 0.0000 0.0000 0.0000  6 Tm 3.56, 6 Nd 3.58
Tm 0.2496 0.2496 0.2513  3 Sm 3.54, 3 Nd 3.56, 6 Tm 3.58


[10]
Computed, not measured: Tc2IrRu after structural relaxation at the PBE level of DFT.

- excess energy over the best structure of this formula in the dataset (meV per atom) = 172
- raw total energy (eV per atom) = -9.74
- theoretical density (g/cm3) = 14.1
- energy relative to the elements (meV per atom) = -26.6

a b c (Å): 2.7249 2.7249 7.7756
angles (deg): 90.00 90.00 90.00
Last column: nearest neighbours and their distance in Å.
Fractional positions:
Ru 0.5000 0.5000 0.7564  4 Tc 2.65, 4 Ru 2.72, 4 Ir 2.79
Tc 0.0000 0.0000 0.9910  4 Ru 2.65, 8 Tc 2.72-2.82
Ir 0.0000 0.0000 0.4969  4 Tc 2.69, 4 Ir 2.72, 4 Ru 2.79
Tc 0.5000 0.5000 0.2557  4 Ir 2.69, 8 Tc 2.72-2.82


[11]
Computed, not measured: Ba2Li2PuN4 after structural relaxation at the PBE level of DFT.

- raw total energy (eV per atom) = -6.78
- formation energy without anion corrections (kJ/mol of formula units) = -552
- theoretical density (g/cm3) = 7.3

a b c (Å): 3.5754 6.5111 6.4272
angles (deg): 109.93 90.00 105.94
Last column: nearest neighbours and their distance in Å.
Fractional positions:
N 0.4846 0.9693 0.2183  1 Li 1.98
N 0.8209 0.6418 0.8564  3 Li 2.04-2.26, 1 Pu 2.10
Ba 0.8578 0.7156 0.4169  3 Li 2.88-3.06, 7 N 2.92-3.05
N 0.5154 0.0307 0.7817  1 Li 1.98
Ba 0.1422 0.2844 0.5831  3 Li 2.88-3.06, 7 N 2.92-3.05
Li 0.6764 0.3527 0.9888  3 N 1.98-2.04
N 0.1791 0.3582 0.1436  3 Li 2.04-2.26, 1 Pu 2.10
Li 0.3236 0.6473 0.0112  3 N 1.98-2.04
Pu 0.0000 0.0000 0.0000  6 N 2.10-2.32